First-principles (PBE-GGA) data for a relaxed GdMgIn2 crystal, as listed in Alexandria.

Cell and atoms, written as POSCAR:
```
GdMgIn2
1.0
3.5854 0.0000 0.0000
0.0000 3.5854 0.0000
0.0000 0.0000 7.7708
Mg Gd In
1 1 2
direct
0.5000 0.5000 0.0000 Mg
0.5000 0.5000 0.5000 Gd
0.0000 0.0000 0.7746 In
0.0000 0.0000 0.2254 In
```

* formation enthalpy at 0 K: -0.32 eV/atom

***

First-principles (PBE-GGA) data for a relaxed BaLaBr4 crystal, as listed in Alexandria.

Cell and atoms, written as POSCAR:
```
BaLaBr4
1.0
-3.8360 4.2467 3.1913
-0.9935 5.9965 -2.4471
-5.8587 1.6075 -2.4547
Ba La Br
1 1 4
direct
0.0000 0.0000 0.0000 Ba
0.7500 0.7500 0.7500 La
0.8743 0.3752 0.3752 Br
0.3752 0.3752 0.8743 Br
0.3752 0.8743 0.3752 Br
0.3752 0.3752 0.3752 Br
```

* formation energy from raw total energies: -0.70 eV per atom

***

no.,calculated total energy (eV per atom)
1,-5.6081
2,-2.9565